No. 1
A plane-wave DFT calculation with GGA-PBE was carried out for a geometry-optimized DyTh2Se3 structure.

Computed properties:
- Space group: C2/c (15)
- Formation energy without anion corrections: -1.601 eV per atom
- Energy above the most stable polymorph in this dataset: 0.000 eV/atom
- Raw total energy: -6.584 eV/atom
- Magnetic moment: 0.000 μB per cell

a = 7.3440 Å, b = 7.3440 Å, c = 8.0865 Å
α = 105.97°, β = 105.97°, γ = 47.40°
Atoms (fractional coordinates):
Dy  0.0006  0.9994  0.7500
Dy  0.9994  0.0006  0.2500
Th  0.3283  0.3288  0.4142
Th  0.3288  0.3283  0.9142
Th  0.6712  0.6717  0.0858
Th  0.6717  0.6712  0.5858
Se  0.1571  0.1577  0.0786
Se  0.1577  0.1571  0.5786
Se  0.4995  0.5005  0.2500
Se  0.5005  0.4995  0.7500
Se  0.8423  0.8429  0.4214
Se  0.8429  0.8423  0.9214

=====

No. 2
A plane-wave DFT calculation with GGA-PBE was carried out for a geometry-optimized Dy3ThTl4Se8 structure.

Computed properties:
- Space group: R-3m (166)
- Formation energy without anion corrections: -1.321 eV per atom
- Raw total energy: -4.982 eV/atom
- Magnetic moment: 0.000 μB per cell

a = 9.2496 Å, b = 9.2496 Å, c = 9.2496 Å
α = 53.82°, β = 53.82°, γ = 53.82°
Atoms (fractional coordinates):
Dy  0.0000  0.5000  0.5000
Dy  0.5000  0.0000  0.5000
Dy  0.5000  0.5000  0.0000
Th  0.0000  0.0000  0.0000
Tl  0.0000  0.0000  0.5000
Tl  0.0000  0.5000  0.0000
Tl  0.5000  0.0000  0.0000
Tl  0.5000  0.5000  0.5000
Se  0.2372  0.2372  0.7323
Se  0.2372  0.7323  0.2372
Se  0.2660  0.2660  0.2660
Se  0.2677  0.7628  0.7628
Se  0.7323  0.2372  0.2372
Se  0.7340  0.7340  0.7340
Se  0.7628  0.2677  0.7628
Se  0.7628  0.7628  0.2677

=====

No. 3
A plane-wave DFT calculation with GGA-PBE was carried out for a geometry-optimized Dy2ThTl3Se6 structure.

Computed properties:
- Space group: C2/m (12)
- Formation energy without anion corrections: -1.301 eV per atom
- Raw total energy: -5.021 eV/atom
- Magnetic moment: 0.000 μB per cell

a = 7.2423 Å, b = 7.2423 Å, c = 8.3140 Å
α = 98.35°, β = 98.35°, γ = 119.98°
Atoms (fractional coordinates):
Dy  0.1666  0.8334  0.0000
Dy  0.8334  0.1666  0.0000
Th  0.5000  0.5000  0.0000
Tl  0.0000  0.0000  0.5000
Tl  0.3317  0.6683  0.5000
Tl  0.6683  0.3317  0.5000
Se  0.0945  0.4317  0.7950
Se  0.2312  0.2312  0.2051
Se  0.4317  0.0945  0.7950
Se  0.5683  0.9055  0.2050
Se  0.7688  0.7688  0.7949
Se  0.9055  0.5683  0.2050

=====

No. 4
A plane-wave DFT calculation with GGA-PBE was carried out for a geometry-optimized Dy3TmTh4Se8 structure.

Computed properties:
- Space group: R-3m (166)
- Formation energy without anion corrections: -1.636 eV per atom
- Raw total energy: -6.376 eV/atom
- Magnetic moment: 0.000 μB per cell

a = 8.4939 Å, b = 8.4939 Å, c = 8.4939 Å
α = 56.58°, β = 56.58°, γ = 56.58°
Atoms (fractional coordinates):
Dy  0.0000  0.5000  0.5000
Dy  0.5000  0.0000  0.5000
Dy  0.5000  0.5000  0.0000
Tm  0.0000  0.0000  0.0000
Th  0.0000  0.0000  0.5000
Th  0.0000  0.5000  0.0000
Th  0.5000  0.0000  0.0000
Th  0.5000  0.5000  0.5000
Se  0.2429  0.2429  0.7463
Se  0.2429  0.7463  0.2429
Se  0.2537  0.7571  0.7571
Se  0.2555  0.2555  0.2555
Se  0.7445  0.7445  0.7445
Se  0.7463  0.2429  0.2429
Se  0.7571  0.2537  0.7571
Se  0.7571  0.7571  0.2537

=====

No. 5
A plane-wave DFT calculation with GGA-PBE was carried out for a geometry-optimized DyTm3Th4Se8 structure.

Computed properties:
- Space group: R-3m (166)
- Formation energy without anion corrections: -1.617 eV per atom
- Raw total energy: -6.340 eV/atom
- Magnetic moment: 0.000 μB per cell

a = 8.4996 Å, b = 8.4996 Å, c = 8.4996 Å
α = 56.12°, β = 56.12°, γ = 56.12°
Atoms (fractional coordinates):
Dy  0.0000  0.0000  0.0000
Tm  0.0000  0.5000  0.5000
Tm  0.5000  0.0000  0.5000
Tm  0.5000  0.5000  0.0000
Th  0.0000  0.0000  0.5000
Th  0.0000  0.5000  0.0000
Th  0.5000  0.0000  0.0000
Th  0.5000  0.5000  0.5000
Se  0.2446  0.2446  0.7407
Se  0.2446  0.7407  0.2446
Se  0.2572  0.2572  0.2572
Se  0.2593  0.7554  0.7554
Se  0.7407  0.2446  0.2446
Se  0.7428  0.7428  0.7428
Se  0.7554  0.2593  0.7554
Se  0.7554  0.7554  0.2593

=====

No. 6
A plane-wave DFT calculation with GGA-PBE was carried out for a geometry-optimized Dy2TmTh3Se6 structure.

Computed properties:
- Space group: C2/m (12)
- Formation energy without anion corrections: -1.623 eV per atom
- Raw total energy: -6.360 eV/atom
- Magnetic moment: 0.000 μB per cell

a = 9.4659 Å, b = 9.4659 Å, c = 8.4977 Å
α = 108.60°, β = 108.60°, γ = 24.54°
Atoms (fractional coordinates):
Dy  0.1668  0.1668  0.3333
Dy  0.8332  0.8332  0.6667
Tm  0.5000  0.5000  0.0000
Th  0.1673  0.1673  0.8332
Th  0.5000  0.5000  0.5000
Th  0.8327  0.8327  0.1668
Se  0.0034  0.0034  0.2369
Se  0.3295  0.3295  0.4262
Se  0.3389  0.3389  0.9090
Se  0.6611  0.6611  0.0910
Se  0.6705  0.6705  0.5738
Se  0.9966  0.9966  0.7631

=====

No. 7
A plane-wave DFT calculation with GGA-PBE was carried out for a geometry-optimized DyTm2Th3Se6 structure.

Computed properties:
- Space group: C2/m (12)
- Formation energy without anion corrections: -1.614 eV per atom
- Raw total energy: -6.340 eV/atom
- Magnetic moment: 0.000 μB per cell

a = 6.8757 Å, b = 6.8757 Å, c = 7.5882 Å
α = 98.68°, β = 98.68°, γ = 119.79°
Atoms (fractional coordinates):
Dy  0.0000  0.0000  0.0000
Tm  0.3330  0.6670  0.0000
Tm  0.6670  0.3330  0.0000
Th  0.1651  0.8349  0.5000
Th  0.5000  0.5000  0.5000
Th  0.8349  0.1651  0.5000
Se  0.0768  0.4135  0.2301
Se  0.2608  0.2608  0.7717
Se  0.4135  0.0768  0.2301
Se  0.5865  0.9232  0.7699
Se  0.7392  0.7392  0.2283
Se  0.9232  0.5865  0.7699

=====

No. 8
A plane-wave DFT calculation with GGA-PBE was carried out for a geometry-optimized Dy3Y2ThSe6 structure.

Computed properties:
- Space group: C2/m (12)
- Formation energy without anion corrections: -1.710 eV per atom
- Raw total energy: -6.299 eV/atom
- Magnetic moment: 0.000 μB per cell

a = 9.1678 Å, b = 9.1678 Å, c = 8.2467 Å
α = 102.68°, β = 102.68°, γ = 25.75°
Atoms (fractional coordinates):
Dy  0.0000  0.0000  0.0000
Dy  0.3380  0.3380  0.6658
Dy  0.6620  0.6620  0.3342
Y  0.3368  0.3368  0.1719
Y  0.6632  0.6632  0.8281
Th  0.0000  0.0000  0.5000
Se  0.1684  0.1684  0.0844
Se  0.1724  0.1724  0.5856
Se  0.4996  0.4996  0.2386
Se  0.5004  0.5004  0.7614
Se  0.8276  0.8276  0.4144
Se  0.8316  0.8316  0.9156

=====

No. 9
A plane-wave DFT calculation with GGA-PBE was carried out for a geometry-optimized Dy2Y3ThSe6 structure.

Computed properties:
- Space group: C2/m (12)
- Formation energy without anion corrections: -1.713 eV per atom
- Raw total energy: -6.456 eV/atom
- Magnetic moment: 0.000 μB per cell

a = 9.1642 Å, b = 9.1642 Å, c = 8.2569 Å
α = 102.42°, β = 102.42°, γ = 25.76°
Atoms (fractional coordinates):
Dy  0.1635  0.1635  0.3289
Dy  0.8365  0.8365  0.6711
Y  0.1613  0.1613  0.8344
Y  0.5000  0.5000  0.5000
Y  0.8387  0.8387  0.1656
Th  0.5000  0.5000  0.0000
Se  0.0013  0.0013  0.2612
Se  0.3276  0.3276  0.9123
Se  0.3312  0.3312  0.4167
Se  0.6688  0.6688  0.5833
Se  0.6724  0.6724  0.0877
Se  0.9987  0.9987  0.7388

=====

No. 10
A plane-wave DFT calculation with GGA-PBE was carried out for a geometry-optimized DyYTh2Se4 structure.

Computed properties:
- Space group: P2/m (10)
- Formation energy without anion corrections: -1.640 eV per atom
- Raw total energy: -6.620 eV/atom
- Magnetic moment: 0.000 μB per cell

a = 6.9714 Å, b = 4.0652 Å, c = 7.4798 Å
α = 90.00°, β = 108.45°, γ = 90.00°
Atoms (fractional coordinates):
Dy  0.0000  0.0000  0.0000
Y  0.5000  0.5000  0.0000
Th  0.0000  0.5000  0.5000
Th  0.5000  0.0000  0.5000
Se  0.2444  0.5000  0.2340
Se  0.2545  0.0000  0.7657
Se  0.7455  0.0000  0.2343
Se  0.7556  0.5000  0.7660

=====

No. 11
A plane-wave DFT calculation with GGA-PBE was carried out for a geometry-optimized DyTi2Se4 structure.

Computed properties:
- Space group: Cmcm (63)
- Formation energy without anion corrections: -1.294 eV per atom
- Raw total energy: -6.198 eV/atom
- Magnetic moment: 4.455 μB per cell

a = 6.4307 Å, b = 6.4307 Å, c = 13.1199 Å
α = 90.00°, β = 90.00°, γ = 145.66°
Atoms (fractional coordinates):
Dy  0.1299  0.8701  0.7500
Dy  0.8701  0.1299  0.2500
Ti  0.3790  0.6210  0.5638
Ti  0.3790  0.6210  0.9362
Ti  0.6210  0.3790  0.0638
Ti  0.6210  0.3790  0.4362
Se  0.0000  0.0000  0.0000
Se  0.0000  0.0000  0.5000
Se  0.2701  0.7299  0.1118
Se  0.2701  0.7299  0.3882
Se  0.4560  0.5440  0.7500
Se  0.5440  0.4560  0.2500
Se  0.7299  0.2701  0.6118
Se  0.7299  0.2701  0.8882

=====

No. 12
A plane-wave DFT calculation with GGA-PBE was carried out for a geometry-optimized DyTiSe3 structure.

Computed properties:
- Space group: Pnma (62)
- Formation energy without anion corrections: -1.439 eV per atom
- Raw total energy: -6.029 eV/atom
- Magnetic moment: 3.309 μB per cell

a = 8.2436 Å, b = 3.8229 Å, c = 13.7210 Å
α = 90.00°, β = 90.00°, γ = 90.00°
Atoms (fractional coordinates):
Dy  0.0863  0.2500  0.1712
Dy  0.4137  0.7500  0.6712
Dy  0.5863  0.2500  0.3288
Dy  0.9137  0.7500  0.8288
Ti  0.1443  0.7500  0.4578
Ti  0.3557  0.2500  0.9578
Ti  0.6443  0.7500  0.0422
Ti  0.8557  0.2500  0.5422
Se  0.0210  0.7500  0.6223
Se  0.1547  0.7500  0.0127
Se  0.1946  0.2500  0.7915
Se  0.3054  0.7500  0.2915
Se  0.3453  0.2500  0.5127
Se  0.4790  0.2500  0.1223
Se  0.5210  0.7500  0.8777
Se  0.6547  0.7500  0.4873
Se  0.6946  0.2500  0.7085
Se  0.8054  0.7500  0.2085
Se  0.8453  0.2500  0.9873
Se  0.9790  0.2500  0.3777

=====

Question: The highest raw total energy belongs to which entry?
Answer: Dy3ThTl4Se8